Entry 1:
Compound: SrTa2Cu
Source: Alexandria via LeMat-Bulk
Functional: PBE
Structure: relaxed

Total DFT energy (no corrections) in eV per atom: -6.538
SG: No. 166
Energy of formation in eV per atom: 0.83
Volume in A^3/atom: 20.1

Lattice parameters (Å, degrees): 2.978 2.978 31.483 90.00 90.00 120.00
Atoms (fractional coordinates):
Sr1 0.000 0.000 0.000
Sr2 0.333 0.667 0.667
Sr3 0.667 0.333 0.333
Ta1 0.000 0.000 0.236
Ta2 0.000 0.000 0.764
Ta3 0.333 0.667 0.431
Ta4 0.333 0.667 0.903
Ta5 0.667 0.333 0.097
Ta6 0.667 0.333 0.569
Cu1 0.000 0.000 0.500
Cu2 0.333 0.667 0.167
Cu3 0.667 0.333 0.833

---

Entry 2:
Compound: SrTaCu
Source: Alexandria via LeMat-Bulk
Functional: PBE
Structure: relaxed

Total DFT energy (no corrections) in eV per atom: -3.831
SG: No. 216
Energy of formation in eV per atom: 2.05
Volume in A^3/atom: 30.9

Lattice parameters (Å, degrees): 7.183 7.183 7.183 90.00 90.00 90.00
Atoms (fractional coordinates):
Sr1 0.000 0.000 0.000
Sr2 0.000 0.500 0.500
Sr3 0.500 0.000 0.500
Sr4 0.500 0.500 0.000
Ta1 0.250 0.250 0.750
Ta2 0.250 0.750 0.250
Ta3 0.750 0.250 0.250
Ta4 0.750 0.750 0.750
Cu1 0.250 0.250 0.250
Cu2 0.250 0.750 0.750
Cu3 0.750 0.250 0.750
Cu4 0.750 0.750 0.250

---

Entry 3:
Compound: SrTa2Cu
Source: Alexandria via LeMat-Bulk
Functional: PBE
Structure: relaxed

Total DFT energy (no corrections) in eV per atom: -6.458
SG: No. 139
Energy of formation in eV per atom: 0.91
Volume in A^3/atom: 21.3

Lattice parameters (Å, degrees): 4.037 4.037 10.431 90.00 90.00 90.00
Atoms (fractional coordinates):
Sr1 0.000 0.000 0.000
Sr2 0.500 0.500 0.500
Ta1 0.000 0.500 0.250
Ta2 0.000 0.500 0.750
Ta3 0.500 0.000 0.250
Ta4 0.500 0.000 0.750
Cu1 0.000 0.000 0.500
Cu2 0.500 0.500 0.000

---

Entry 4:
Compound: Sr2TaCu
Source: Alexandria via LeMat-Bulk
Functional: PBE
Structure: relaxed

Total DFT energy (no corrections) in eV per atom: -4.204
SG: No. 71
Energy of formation in eV per atom: 0.62
Volume in A^3/atom: 31.1

Lattice parameters (Å, degrees): 3.494 3.897 18.262 90.00 90.00 90.00
Atoms (fractional coordinates):
Sr1 0.000 0.000 0.151
Sr2 0.000 0.000 0.849
Sr3 0.500 0.500 0.349
Sr4 0.500 0.500 0.651
Ta1 0.000 0.500 0.000
Ta2 0.500 0.000 0.500
Cu1 0.000 0.500 0.500
Cu2 0.500 0.000 0.000